[1]
DFT (GGA-PBE) results for a geometry-optimized La2PH structure.

Properties
The crystal system is trigonal. Its symmetry is No. 166.

a = 4.1497 Å, b = 4.1497 Å, c = 23.4865 Å
α = 90.00°, β = 90.00°, γ = 120.00°
Closest atoms and distances in Å follow each position.
Element x y z (fractional)
La  0.0000  0.0000  0.0963  1 H 2.26
La  0.0000  0.0000  0.9037  1 H 2.26
La  0.3333  0.6667  0.5703  1 H 2.26
La  0.3333  0.6667  0.7630  1 H 2.26
La  0.6667  0.3333  0.2370  1 H 2.26
La  0.6667  0.3333  0.4297  1 H 2.26
P  0.0000  0.0000  0.5000  6 La 2.91
P  0.3333  0.6667  0.1667  6 La 2.91
P  0.6667  0.3333  0.8333  6 La 2.91
H  0.0000  0.0000  0.0000  2 La 2.26
H  0.3333  0.6667  0.6667  2 La 2.26
H  0.6667  0.3333  0.3333  2 La 2.26

---

[2]
DFT (GGA-PBE) results for a geometry-optimized La4P3H structure.

Properties
The crystal system is orthorhombic. Its symmetry is No. 65.

a = 8.4133 Å, b = 11.7879 Å, c = 4.2081 Å
α = 90.00°, β = 90.00°, γ = 90.00°
Closest atoms and distances in Å follow each position.
Element x y z (fractional)
La  0.0000  0.2502  0.0000  1 H 2.94, 5 P 2.95-2.98
La  0.0000  0.7498  0.0000  1 H 2.94, 5 P 2.95-2.98
La  0.2416  0.0000  0.5000  4 P 2.93-2.95, 2 H 3.03
La  0.2584  0.5000  0.5000  4 P 2.93-2.95, 2 H 3.03
La  0.5000  0.2498  0.0000  1 H 2.94, 5 P 2.95-2.98
La  0.5000  0.7502  0.0000  1 H 2.94, 5 P 2.95-2.98
La  0.7416  0.5000  0.5000  4 P 2.93-2.95, 2 H 3.03
La  0.7584  0.0000  0.5000  4 P 2.93-2.95, 2 H 3.03
P  0.0000  0.0000  0.0000  6 La 2.93-2.95
P  0.2500  0.2500  0.5000  6 La 2.95-2.98
P  0.2500  0.7500  0.5000  6 La 2.95-2.98
P  0.5000  0.5000  0.0000  6 La 2.93-2.95
P  0.7500  0.2500  0.5000  6 La 2.95-2.98
P  0.7500  0.7500  0.5000  6 La 2.95-2.98
H  0.0000  0.5000  0.0000  6 La 2.94-3.03
H  0.5000  0.0000  0.0000  6 La 2.94-3.03

---

[3]
DFT (GGA-PBE) results for a geometry-optimized La6P5H structure.

Properties
The crystal system is monoclinic. Its symmetry is No. 12.

a = 7.3153 Å, b = 7.3153 Å, c = 7.3247 Å
α = 99.61°, β = 99.61°, γ = 119.96°
Closest atoms and distances in Å follow each position.
Element x y z (fractional)
La  0.0760  0.4158  0.7472  5 P 2.93-3.00, 1 H 3.04
La  0.2446  0.2446  0.2557  5 P 2.92-2.99, 1 H 3.06
La  0.4158  0.0760  0.7472  5 P 2.93-3.00, 1 H 3.04
La  0.5842  0.9240  0.2528  5 P 2.93-3.00, 1 H 3.04
La  0.7554  0.7554  0.7443  5 P 2.92-2.99, 1 H 3.06
La  0.9240  0.5842  0.2528  5 P 2.93-3.00, 1 H 3.04
P  0.0000  0.0000  0.5000  6 La 2.92-3.00
P  0.1666  0.8334  0.0000  6 La 2.98-2.99
P  0.3329  0.6671  0.5000  6 La 2.93-3.00
P  0.6671  0.3329  0.5000  6 La 2.93-3.00
P  0.8334  0.1666  0.0000  6 La 2.98-2.99
H  0.5000  0.5000  0.0000  6 La 3.04-3.06

---

[4]
DFT (GGA-PBE) results for a geometry-optimized La2PH structure.

Properties
The crystal system is trigonal. Its symmetry is No. 160.

a = 3.9874 Å, b = 3.9874 Å, c = 20.4521 Å
α = 90.00°, β = 90.00°, γ = 120.00°
Closest atoms and distances in Å follow each position.
Element x y z (fractional)
La  0.0000  0.0000  0.0000  3 H 2.81, 3 P 2.87
La  0.0000  0.0000  0.1663  3 P 2.86, 3 H 2.91
La  0.3333  0.6667  0.6667  3 H 2.81, 3 P 2.87
La  0.3333  0.6667  0.8330  3 P 2.86, 3 H 2.91
La  0.6667  0.3333  0.3333  3 H 2.81, 3 P 2.87
La  0.6667  0.3333  0.4997  3 P 2.86, 3 H 2.91
P  0.0000  0.0000  0.5826  6 La 2.86-2.87
P  0.3333  0.6667  0.2493  6 La 2.86-2.87
P  0.6667  0.3333  0.9160  6 La 2.86-2.87
H  0.0000  0.0000  0.4123  6 La 2.81-2.91
H  0.3333  0.6667  0.0790  6 La 2.81-2.91
H  0.6667  0.3333  0.7456  6 La 2.81-2.91

---

[5]
DFT (GGA-PBE) results for a geometry-optimized La2PH structure.

Properties
The crystal system is monoclinic. Its symmetry is No. 12.

a = 7.0864 Å, b = 4.0964 Å, c = 6.8239 Å
α = 90.00°, β = 110.01°, γ = 90.00°
Closest atoms and distances in Å follow each position.
Element x y z (fractional)
La  0.2487  0.0000  0.2425  3 H 2.82-2.84, 3 P 2.88
La  0.2513  0.5000  0.7575  3 H 2.82-2.84, 3 P 2.88
La  0.7487  0.5000  0.2425  3 H 2.82-2.84, 3 P 2.88
La  0.7513  0.0000  0.7575  3 H 2.82-2.84, 3 P 2.88
P  0.0000  0.0000  0.5000  6 La 2.88
P  0.5000  0.5000  0.5000  6 La 2.88
H  0.0000  0.5000  0.0000  6 La 2.82-2.84
H  0.5000  0.0000  0.0000  6 La 2.82-2.84

---

[6]
DFT (GGA-PBE) results for a geometry-optimized LaPH structure.

Properties
The offset from the most stable computed form comes out at 25 meV per atom. The crystal system is monoclinic. Its symmetry is No. 12.

a = 10.1983 Å, b = 4.2181 Å, c = 6.6576 Å
α = 90.00°, β = 124.08°, γ = 90.00°
Closest atoms and distances in Å follow each position.
Element x y z (fractional)
La  0.2279  0.0000  0.2547  3 H 2.33-2.35
La  0.2721  0.5000  0.7453  3 H 2.33-2.35
La  0.7279  0.5000  0.2547  3 H 2.33-2.35
La  0.7721  0.0000  0.7453  3 H 2.33-2.35
P  0.0275  0.5000  0.8630  1 P 2.19
P  0.4725  0.0000  0.1370  1 P 2.19
P  0.5275  0.0000  0.8630  1 P 2.19
P  0.9725  0.5000  0.1370  1 P 2.19
H  0.1824  0.0000  0.5611  3 La 2.33-2.35
H  0.3176  0.5000  0.4389  3 La 2.33-2.35
H  0.6824  0.5000  0.5611  3 La 2.33-2.35
H  0.8176  0.0000  0.4389  3 La 2.33-2.35

---

[7]
DFT (GGA-PBE) results for a geometry-optimized LaPHPb2 structure.

Properties
The crystal system is tetragonal. Its symmetry is No. 123.

a = 6.0727 Å, b = 6.0727 Å, c = 3.3292 Å
α = 90.00°, β = 90.00°, γ = 90.00°
Closest atoms and distances in Å follow each position.
Element x y z (fractional)
La  0.0000  0.0000  0.0000  2 La 3.33, 8 Pb 3.46
P  0.5000  0.5000  0.5000  2 H 1.66
H  0.5000  0.5000  0.0000  2 P 1.66
Pb  0.0000  0.5000  0.5000  2 P 3.04, 2 Pb 3.33
Pb  0.5000  0.0000  0.5000  2 P 3.04, 2 Pb 3.33

---

[8]
DFT (GGA-PBE) results for a geometry-optimized LaPH2Pd2 structure.

Properties
The crystal system is monoclinic. Its symmetry is No. 11.

a = 5.8295 Å, b = 5.5110 Å, c = 5.9487 Å
α = 90.00°, β = 103.29°, γ = 90.00°
Closest atoms and distances in Å follow each position.
Element x y z (fractional)
La  0.1755  0.2500  0.2667  2 H 2.60-2.70
La  0.8245  0.7500  0.7333  2 H 2.60-2.70
P  0.3062  0.7500  0.1128  4 Pd 2.44-2.46
P  0.6938  0.2500  0.8872  4 Pd 2.44-2.46
H  0.1313  0.2500  0.6916  2 Pd 1.80
H  0.2338  0.7500  0.5930  2 Pd 1.80
H  0.7662  0.2500  0.4070  2 Pd 1.80
H  0.8687  0.7500  0.3084  2 Pd 1.80
Pd  0.3333  0.0019  0.7821  2 H 1.80
Pd  0.3333  0.4981  0.7821  2 H 1.80
Pd  0.6667  0.5019  0.2179  2 H 1.80
Pd  0.6667  0.9981  0.2179  2 H 1.80

---

no.,DFT total energy (eV per atom),spin magnetization (Bohr magnetons per cell)
1,-5.4202,0.00
2,-6.1984,0.00
3,-6.4030,0.00
4,-5.5565,0.00
5,-5.6418,0.00
6,-5.4800,0.00
7,-4.1924,0.00
8,-5.1434,0.00